# LiCoNO2

Crystalline LiCoNO2 at its relaxed geometry (GGA+U, Alexandria via LeMat-Bulk).

Computed properties:
**Magnetic moment**: 1.8 μB/f.u.
**DFT total energy**: -5.00 eV per atom
**D(E_F)**: 0.601 states/eV/atom

a = 3.8295 Å, b = 3.8295 Å, c = 3.4757 Å
α = 90.00°, β = 90.00°, γ = 90.00°
Site moments in Bohr magnetons follow the coordinates.
Sites, in units of the cell vectors:
Li  0.5000  0.5000  0.5000  0.00
Co  0.0000  0.0000  0.0000  1.65
O  0.0000  0.5000  0.0000  0.17
O  0.5000  0.0000  0.0000  0.17
N  0.0000  0.0000  0.5000  -0.22